--- i ---
This record from the Alexandria database describes a relaxed structure of LaPm5Sm3. The functional is PBE.

Output
density of states at the Fermi level	27.15	states/eV/cell
crystal system	monoclinic
space-group type	C2/c

Cell: 6.2064 11.1452 11.5957 Å, 122.81 90.00 106.17°
Closest atoms and distances in Å follow each position.
Atoms (fractional coordinates):
Sm  0.0483  0.6390  0.1686  1 Sm 3.33, 4 Pm 3.42-3.63, 1 La 3.48
Pm  0.4560  0.2815  0.6353  2 Sm 3.17-3.42, 1 Pm 3.54
Sm  0.9517  0.3610  0.8314  1 Sm 3.33, 4 Pm 3.42-3.63, 1 La 3.48
Pm  0.6153  0.6409  0.9779  5 Pm 3.38-3.75, 2 Sm 3.49-3.58
Sm  0.0000  0.0000  0.0000  2 La 3.01, 2 Pm 3.17
La  0.8709  0.0000  0.7500  2 Pm 2.97-3.23, 2 Sm 3.01
Pm  0.9744  0.3591  0.5221  5 Pm 3.38-3.75, 2 Sm 3.49-3.58
La  0.1291  0.0000  0.2500  2 Pm 2.97-3.23, 2 Sm 3.01
Pm  0.3920  0.0000  0.7500  2 La 2.97-3.23
Sm  0.5906  0.6390  0.6686  1 Sm 3.33, 4 Pm 3.42-3.63, 1 La 3.48
Pm  0.0256  0.6409  0.4779  5 Pm 3.38-3.75, 2 Sm 3.49-3.58
Sm  0.0000  0.0000  0.5000  2 La 3.01, 2 Pm 3.17
Pm  0.6080  0.0000  0.2500  2 La 2.97-3.23
Sm  0.4094  0.3610  0.3314  1 Sm 3.33, 4 Pm 3.42-3.63, 1 La 3.48
Pm  0.1746  0.7185  0.8647  2 Sm 3.17-3.42, 1 Pm 3.54
Pm  0.3847  0.3591  0.0221  5 Pm 3.38-3.75, 2 Sm 3.49-3.58
Pm  0.8254  0.2815  0.1353  2 Sm 3.17-3.42, 1 Pm 3.54
Pm  0.5440  0.7185  0.3647  2 Sm 3.17-3.42, 1 Pm 3.54

--- ii ---
This record from the Alexandria database describes a relaxed structure of LaPm5Sm3. The functional is PBE.

Output
density of states at the Fermi level	24.82	states/eV/cell
crystal system	monoclinic
space-group type	C2/m

Cell: 9.3508 9.3508 12.2491 Å, 55.57 55.57 56.16°
Closest atoms and distances in Å follow each position.
Atoms (fractional coordinates):
Sm  0.0000  0.0000  0.0000  2 Pm 2.77
La  0.1457  0.1457  0.6418  3 Sm 3.27-3.51, 2 Pm 3.62
Sm  0.2517  0.2517  0.8147  1 Sm 3.21, 1 Pm 3.22, 1 La 3.51
Pm  0.6566  0.6566  0.0191  6 Pm 3.19-3.40, 2 Sm 3.22-3.29
Pm  0.3434  0.3434  0.9809  6 Pm 3.19-3.40, 2 Sm 3.22-3.29
Pm  0.0769  0.7087  0.8208  3 Pm 3.19-3.40, 1 Sm 3.51
Pm  0.9231  0.2913  0.1792  3 Pm 3.19-3.40, 1 Sm 3.51
Sm  0.2752  0.2752  0.2991  1 La 3.27, 3 Pm 3.29-3.52, 1 Sm 3.52
Sm  0.7483  0.7483  0.1853  1 Sm 3.21, 1 Pm 3.22, 1 La 3.51
Pm  0.4383  0.4383  0.4137  4 Pm 3.67-3.76, 1 La 3.72, 3 Sm 3.75-3.96
La  0.8543  0.8543  0.3582  3 Sm 3.27-3.51, 2 Pm 3.62
Pm  0.5617  0.5617  0.5863  4 Pm 3.67-3.76, 1 La 3.72, 3 Sm 3.75-3.96
Pm  0.7087  0.0769  0.8208  3 Pm 3.19-3.40, 1 Sm 3.51
Pm  0.3149  0.6851  0.0000  1 Sm 2.77
Sm  0.7248  0.7248  0.7009  1 La 3.27, 3 Pm 3.29-3.52, 1 Sm 3.52
Sm  0.0000  0.0000  0.5000  4 Pm 3.51, 2 Sm 3.52, 2 La 3.76
Pm  0.6851  0.3149  0.0000  1 Sm 2.77
Pm  0.2913  0.9231  0.1792  3 Pm 3.19-3.40, 1 Sm 3.51

Most stable pick: i. Distance to second place: 14.2 kJ/mol of atoms.

--- i ---
This record from the Alexandria database describes a relaxed structure of LaPm7Sm4. The functional is PBE.

Output
density of states at the Fermi level	18.29	states/eV/cell
crystal system	triclinic
space-group type	P-1

Cell: 7.3558 9.7398 9.1058 Å, 81.13 90.00 40.96°
Closest atoms and distances in Å follow each position.
Atoms (fractional coordinates):
La  0.0000  0.0000  0.0000  10 Pm 3.64-3.69, 2 Sm 3.64
Sm  0.5305  0.7209  0.3335  8 Pm 3.62-3.70, 3 Sm 3.64-3.69, 1 La 3.64
Pm  0.5000  0.0000  0.0000  4 Sm 3.63, 6 Pm 3.64-3.68, 2 La 3.68
Pm  0.9716  0.2794  0.6661  6 Sm 3.62-3.70, 5 Pm 3.64-3.69, 1 La 3.64
Pm  0.2486  0.5001  0.9998  3 Sm 3.63-3.64, 7 Pm 3.64-3.70, 2 La 3.69
Pm  0.7514  0.4999  0.0002  3 Sm 3.63-3.64, 7 Pm 3.64-3.70, 2 La 3.69
Pm  0.2213  0.7784  0.6665  6 Pm 3.63-3.69, 1 La 3.64, 5 Sm 3.64-3.69
Pm  0.7787  0.2216  0.3335  6 Pm 3.63-3.69, 1 La 3.64, 5 Sm 3.64-3.69
Sm  0.7194  0.7803  0.6669  4 Sm 3.62-3.69, 8 Pm 3.63-3.69
Sm  0.2806  0.2197  0.3331  4 Sm 3.62-3.69, 8 Pm 3.63-3.69
Pm  0.0284  0.7206  0.3339  6 Sm 3.62-3.70, 5 Pm 3.64-3.69, 1 La 3.64
Sm  0.4695  0.2791  0.6665  8 Pm 3.62-3.70, 3 Sm 3.64-3.69, 1 La 3.64

--- ii ---
This record from the Alexandria database describes a relaxed structure of LaPm7Sm4. The functional is PBE.

Output
density of states at the Fermi level	18.65	states/eV/cell
crystal system	monoclinic
space-group type	C2/m

Cell: 6.0896 11.8118 6.8270 Å, 83.13 63.51 75.06°
Closest atoms and distances in Å follow each position.
Atoms (fractional coordinates):
La  0.0000  0.0000  0.0000  4 Pm 3.04-3.17
Pm  0.5000  0.0000  0.0000  2 La 3.04, 2 Pm 3.20
Pm  0.2093  0.0794  0.5019  1 La 3.17, 4 Pm 3.20-3.54, 4 Sm 3.34-3.46
Pm  0.3696  0.5018  0.7590  2 Pm 3.17-3.36, 3 Sm 3.33-3.53
Pm  0.7907  0.9206  0.4981  1 La 3.17, 4 Pm 3.20-3.54, 4 Sm 3.34-3.46
Sm  0.6344  0.2240  0.5073  7 Pm 3.46-3.71, 2 Sm 3.78
Sm  0.3656  0.7760  0.4927  7 Pm 3.46-3.71, 2 Sm 3.78
Pm  0.6304  0.4982  0.2410  2 Pm 3.17-3.36, 3 Sm 3.33-3.53
Pm  0.0601  0.6697  0.2101  4 Pm 3.36-3.62, 3 Sm 3.70-3.71
Sm  0.7524  0.6809  0.8143  5 Pm 3.33-3.70
Pm  0.9399  0.3303  0.7899  4 Pm 3.36-3.62, 3 Sm 3.70-3.71
Sm  0.2476  0.3191  0.1857  5 Pm 3.33-3.70

Most stable pick: i. Distance to second place: 21.0 kJ/mol of atoms.

--- i ---
This record from the Alexandria database describes a relaxed structure of La2Pm2Sm7. The functional is PBE.

Output
density of states at the Fermi level	20.03	states/eV/cell
crystal system	orthorhombic
space-group type	Cmmm

Cell: 7.0352 9.4955 7.0352 Å, 89.99 123.04 90.01°
Closest atoms and distances in Å follow each position.
Atoms (fractional coordinates):
Sm  0.5001  0.6813  0.9999  3 Sm 3.35-3.44, 2 Pm 3.47, 2 La 3.54
Sm  0.4999  0.3187  0.0001  3 Sm 3.35-3.44, 2 Pm 3.47, 2 La 3.54
La  0.7504  0.5000  0.7504  2 La 3.35-3.36, 6 Sm 3.49-3.54
Pm  0.7322  0.0000  0.2678  7 Sm 3.31-3.47, 2 Pm 3.38
Sm  0.5000  0.1778  0.5000  2 Pm 3.33, 1 Sm 3.38, 2 La 3.49
Sm  0.0001  0.6813  0.4999  3 Sm 3.35-3.44, 2 Pm 3.47, 2 La 3.54
Pm  0.2678  0.0000  0.7322  7 Sm 3.31-3.47, 2 Pm 3.38
Sm  0.5000  0.8222  0.5000  2 Pm 3.33, 1 Sm 3.38, 2 La 3.49
La  0.2496  0.5000  0.2496  2 La 3.35-3.36, 6 Sm 3.49-3.54
Sm  0.0000  0.0000  0.0000  2 Pm 3.31
Sm  0.9999  0.3187  0.5001  3 Sm 3.35-3.44, 2 Pm 3.47, 2 La 3.54

--- ii ---
This record from the Alexandria database describes a relaxed structure of La2Pm2Sm7. The functional is PBE.

Output
density of states at the Fermi level	17.71	states/eV/cell
crystal system	monoclinic
space-group type	C2/m

Cell: 8.2342 10.6340 8.2342 Å, 125.98 88.24 54.02°
Closest atoms and distances in Å follow each position.
Atoms (fractional coordinates):
Pm  0.7126  0.0000  0.7126  6 Sm 3.37-3.55
Sm  0.6588  0.0733  0.3412  5 Sm 3.41-3.66, 2 La 3.53-3.66, 2 Pm 3.55
Sm  0.0000  0.5000  0.0000  6 Sm 3.40-3.50
Sm  0.3412  0.9267  0.6588  5 Sm 3.41-3.66, 2 La 3.53-3.66, 2 Pm 3.55
Pm  0.2874  0.0000  0.2874  6 Sm 3.37-3.55
Sm  0.2433  0.3247  0.2390  5 Sm 3.31-3.69, 2 Pm 3.37-3.52, 1 La 3.69
Sm  0.2390  0.6753  0.2433  5 Sm 3.31-3.69, 2 Pm 3.37-3.52, 1 La 3.69
Sm  0.7567  0.6753  0.7610  5 Sm 3.31-3.69, 2 Pm 3.37-3.52, 1 La 3.69
Sm  0.7610  0.3247  0.7567  5 Sm 3.31-3.69, 2 Pm 3.37-3.52, 1 La 3.69
La  0.2161  0.6872  0.7839  7 Sm 3.53-3.87, 2 La 3.63-3.81, 2 Pm 3.85
La  0.7839  0.3128  0.2161  7 Sm 3.53-3.87, 2 La 3.63-3.81, 2 Pm 3.85

Most stable pick: ii. Distance to second place: 17.8 kJ/mol of atoms.

--- i ---
This record from the Alexandria database describes a relaxed structure of La4Pm4Sm3. The functional is PBE.

Output
density of states at the Fermi level	15.85	states/eV/cell
crystal system	orthorhombic
space-group type	Immm

Cell: 3.6627 9.6809 12.3610 Å, 113.05 98.52 90.00°
Closest atoms and distances in Å follow each position.
Atoms (fractional coordinates):
Sm  0.1050  0.1050  0.2101  6 Pm 3.46-3.49, 2 Sm 3.66, 4 La 3.80
Pm  0.7356  0.2356  0.4713  2 Sm 3.46, 6 La 3.63-3.79, 2 Pm 3.66
Sm  0.0000  0.5000  0.0000  4 Pm 3.54, 2 Sm 3.66
Pm  0.2644  0.7644  0.5287  2 Sm 3.46, 6 La 3.63-3.79, 2 Pm 3.66
Pm  0.5000  0.8131  0.0000  6 Sm 3.49-3.54, 2 La 3.55, 3 Pm 3.62-3.66
Pm  0.5000  0.1869  0.0000  6 Sm 3.49-3.54, 2 La 3.55, 3 Pm 3.62-3.66
Sm  0.8950  0.8950  0.7899  6 Pm 3.46-3.49, 2 Sm 3.66, 4 La 3.80
La  0.3546  0.1851  0.7092  3 La 3.28-3.66, 3 Pm 3.55-3.63
La  0.6454  0.4759  0.2908  3 La 3.28-3.66, 3 Pm 3.55-3.63
La  0.6454  0.8149  0.2908  3 La 3.28-3.66, 3 Pm 3.55-3.63
La  0.3546  0.5241  0.7092  3 La 3.28-3.66, 3 Pm 3.55-3.63

--- ii ---
This record from the Alexandria database describes a relaxed structure of La4Pm4Sm3. The functional is PBE.

Output
density of states at the Fermi level	19.74	states/eV/cell
crystal system	orthorhombic
space-group type	Amm2

Cell: 5.8575 6.7665 10.9300 Å, 90.00 90.00 115.65°
Closest atoms and distances in Å follow each position.
Atoms (fractional coordinates):
Pm  0.5480  0.0959  0.0000  4 La 3.14-3.41
La  0.8838  0.7675  0.5000  3 Pm 3.38-3.46, 2 La 3.57, 4 Sm 3.72
Sm  0.4100  0.8199  0.2923  2 Pm 3.30-3.61, 2 La 3.59
Pm  0.1067  0.2134  0.6957  4 La 3.46-3.80, 2 Pm 3.63, 4 Sm 3.70-3.79
Sm  0.4100  0.8199  0.7077  2 Pm 3.30-3.61, 2 La 3.59
Sm  0.2513  0.5026  0.0000  7 La 3.60-3.85, 5 Pm 3.62-3.84, 2 Sm 3.74
Pm  0.6065  0.2131  0.5000  2 Sm 3.30, 1 La 3.38, 4 Pm 3.63
La  0.7597  0.5193  0.7963  2 La 3.27-3.57, 3 Pm 3.41-3.64, 2 Sm 3.59
La  0.9563  0.9126  0.0000  2 Pm 3.14, 2 La 3.27
La  0.7597  0.5193  0.2037  2 La 3.27-3.57, 3 Pm 3.41-3.64, 2 Sm 3.59
Pm  0.1067  0.2134  0.3043  4 La 3.46-3.80, 2 Pm 3.63, 4 Sm 3.70-3.79

Most stable pick: i. Distance to second place: 1.4 kJ/mol of atoms.